(1)
LaScCd2Au4 after structural relaxation, computed with PBE.

Unit cell a=4.9080 b=4.9080 c=24.7389 alpha=90.00 beta=90.00 gamma=120.00
Space group R-3m (No. 166, hexagonal axes)
One atom of each set of equivalent atoms:
La 0.0000 0.0000 0.0000
Sc 0.0000 0.0000 0.5000
Cd 0.0000 0.0000 0.2487
Au 0.0000 0.0000 0.1318
Au 0.0000 0.0000 0.3862

Values from the calculation:
The density comes out at 11.55 g/cm³. For the formation energy, the calculation gives -618.5 meV/atom. The crystal system is trigonal. Its calculated total energy is -31.15 eV per formula unit.

=====

(2)
La2ScCdAu6 after structural relaxation, computed with PBE.

Unit cell a=10.323 b=10.323 c=10.323 alpha=90.00 beta=90.00 gamma=90.00
Space group Fm-3m (No. 225)
One atom of each set of equivalent atoms:
La 0.250 0.250 0.250
Sc 0.000 0.000 0.000
Cd 0.000 0.000 0.500
Au 0.000 0.000 0.247

Values from the calculation:
The density comes out at 9.76 g/cm³. For the formation energy, the calculation gives -189.9 meV/atom. The crystal system is cubic. Its calculated total energy is -38.66 eV per formula unit.

=====

(3)
LaSc2CdAu4 after structural relaxation, computed with PBE.

Unit cell a=4.7699 b=4.7699 c=27.0418 alpha=90.00 beta=90.00 gamma=120.00
Space group R-3m (No. 166, hexagonal axes)
One atom of each set of equivalent atoms:
La 0.0000 0.0000 0.0000
Sc 0.0000 0.0000 0.2338
Cd 0.0000 0.0000 0.5000
Au 0.0000 0.0000 0.1200
Au 0.0000 0.0000 0.3943

Values from the calculation:
The density comes out at 10.56 g/cm³. For the formation energy, the calculation gives -668.1 meV/atom. The crystal system is trigonal. Its calculated total energy is -36.96 eV per formula unit.

=====

(4)
LaCdSi2Au5 after structural relaxation, computed with PBE.

Unit cell a=4.625 b=4.625 c=9.608 alpha=90.00 beta=90.00 gamma=90.00
Space group P4/mmm (No. 123)
One atom of each set of equivalent atoms:
La 0.000 0.000 0.000
Cd 0.000 0.000 0.500
Si 0.500 0.500 0.245
Au 0.000 0.500 0.320
Au 0.500 0.500 0.000

Values from the calculation:
As for the energy relative to the elements, uncorrected: -0.26 eV per atom. The density comes out at 10.44 g/cm³. The crystal system is tetragonal. Its calculated total energy is -35.40 eV per formula unit.

=====

(5)
LaCdSi2Au6 after structural relaxation, computed with PBE.

Unit cell a=6.5964 b=6.5964 c=22.7940 alpha=90.00 beta=90.00 gamma=120.00
Space group R-3 (No. 148, hexagonal axes)
One atom of each set of equivalent atoms:
La 0.0000 0.0000 0.0000
Cd 0.0000 0.0000 0.5000
Si 0.0000 0.0000 0.2951
Au 0.0588 0.4613 0.0635

Values from the calculation:
As for the energy relative to the elements, uncorrected: -0.08 eV per atom. The density comes out at 8.64 g/cm³. The crystal system is trigonal. Its calculated total energy is -37.18 eV per formula unit.

=====

(6)
LaSmCdAu after structural relaxation, computed with PBE.

Unit cell a=7.600 b=7.600 c=7.600 alpha=90.00 beta=90.00 gamma=90.00
Space group F-43m (No. 216)
One atom of each set of equivalent atoms:
La 0.000 0.000 0.000
Sm 0.000 0.000 0.500
Cd 0.250 0.250 0.750
Au 0.250 0.250 0.250

Values from the calculation:
The density comes out at 9.06 g/cm³. The calculation puts the polymorph energy (0 for the lowest one) at 38.5 meV/atom. For the formation energy, the calculation gives -516.0 meV/atom. The crystal system is cubic. Its calculated total energy is -15.90 eV per formula unit.

=====

(7)
LaSmCdAu after structural relaxation, computed with PBE.

Unit cell a=3.785 b=3.785 c=7.658 alpha=90.00 beta=90.00 gamma=90.00
Space group P4mm (No. 99)
One atom of each set of equivalent atoms:
La 0.000 0.000 0.000
Sm 0.000 0.000 0.530
Cd 0.500 0.500 0.277
Au 0.500 0.500 0.744

Values from the calculation:
The density comes out at 9.06 g/cm³. The calculation puts the polymorph energy (0 for the lowest one) at 0.0 meV/atom. For the formation energy, the calculation gives -554.5 meV/atom. The crystal system is tetragonal. Its calculated total energy is -16.06 eV per formula unit.

=====

(8)
La2CdSn4Au3 after structural relaxation, computed with PBE.

Unit cell a=4.616 b=4.616 c=11.881 alpha=90.00 beta=90.00 gamma=90.00
Space group P-4m2 (No. 115)
One atom of each set of equivalent atoms:
La 0.000 0.500 0.246
Cd 0.500 0.500 0.000
Sn 0.000 0.000 0.500
Sn 0.000 0.500 0.861
Sn 0.500 0.500 0.500
Au 0.000 0.000 0.000
Au 0.000 0.500 0.638

Values from the calculation:
The density comes out at 9.55 g/cm³. For the formation energy, the calculation gives -563.6 meV/atom. The crystal system is tetragonal. Its calculated total energy is -42.25 eV per formula unit.

=====

Question: The lowest density belongs to which entry?
Answer: LaCdSi2Au6